# Tl12GaBi3, optimized geometry, DFT PBE
# crystal system: tetragonal
# final energy: -2.689 eV per atom
# ΔE_f: 2 meV/atom
# M_tot: 0.00 μB/atom
data_Tl12GaBi3
_chemical_formula_sum 'Tl12 Ga1 Bi3'
_cell_length_a 5.110
_cell_length_b 5.110
_cell_length_c 18.812
_cell_angle_alpha 90.00
_cell_angle_beta 90.00
_cell_angle_gamma 90.00
_space_group_name_H-M_alt 'P 4/m m m'
_space_group_IT_number 123
_space_group_name_Hall '-P 4 2'
loop_
_atom_site_label
_atom_site_fract_x
_atom_site_fract_y
_atom_site_fract_z
Tl1 0.000 0.000 0.000
Tl2 0.000 0.000 0.246
Tl3 0.000 0.000 0.500
Tl4 0.000 0.500 0.116
Tl5 0.000 0.500 0.371
Ga1 0.500 0.500 0.000
Bi1 0.500 0.500 0.238
Bi2 0.500 0.500 0.500